(1)
CuSeBr3: single point on PBEsol structure, SCAN.

Output
As for the crystal system: cubic. The space group is Pm-3m. Its total energy is -18.2634 eV per atom. The calculation puts the density of states at the Fermi level at 2.8 states/eV/f.u.

Lattice parameters (Å, degrees): 5.209 5.209 5.209 90.00 90.00 90.00
Atoms (fractional coordinates):
Cu  0.500  0.500  0.500
Se  0.000  0.000  0.000
Br  0.000  0.500  0.000
Br  0.000  0.000  0.500
Br  0.500  0.000  0.000

=====

(2)
Ba2CdSb: single point on PBEsol structure, SCAN.

Output
As for the relative energy among the computed polymorphs: 0.0000 eV per atom. As for the crystal system: orthorhombic. The space group is Amm2. Its total energy is -37.5052 eV per atom. The calculation puts the density of states at the Fermi level at 2.6 states/eV/f.u.

Lattice parameters (Å, degrees): 4.910 4.881 6.823 90.00 111.09 90.00
Atoms (fractional coordinates):
Sb  0.700  0.500  0.400
Ba  0.987  0.500  0.975
Ba  0.263  0.000  0.526
Cd  0.549  0.000  0.099